(1)
DFT (PBE-GGA) results for an optimized crystal structure of RbSbAsBr2.

## Properties
space group: P4/mmm (123)
magnetic moment: 0.154 μB/atom
energy relative to the elements, uncorrected: -0.46 eV per atom
raw total energy: -3.08 eV/atom

```
data_RbSbAsBr2
_cell_length_a 5.9092
_cell_length_b 5.9092
_cell_length_c 5.3723
_cell_angle_alpha 90.00
_cell_angle_beta 90.00
_cell_angle_gamma 90.00
_symmetry_space_group_name_H-M 'P 1'
_symmetry_Int_Tables_number 1
loop_
_symmetry_equiv_pos_as_xyz
'x,y,z'
loop_
_atom_site_label
_atom_site_type_symbol
_atom_site_fract_x
_atom_site_fract_y
_atom_site_fract_z
Rb1 Rb 0.0000 0.0000 0.0000
Sb1 Sb 0.5000 0.5000 0.5000
As1 As 0.5000 0.5000 0.0000
Br1 Br 0.0000 0.5000 0.5000
Br2 Br 0.5000 0.0000 0.5000
```

(2)
DFT (PBE-GGA) results for an optimized crystal structure of In2GeIrW.

## Properties
space group: P4/mmm (123)
magnetic moment: 0.859 μB/atom
formation energy: 1.090 eV per atom
raw total energy: -5.29 eV/atom

```
data_In2GeIrW
_cell_length_a 5.1760
_cell_length_b 5.1760
_cell_length_c 4.6455
_cell_angle_alpha 90.00
_cell_angle_beta 90.00
_cell_angle_gamma 90.00
_symmetry_space_group_name_H-M 'P 1'
_symmetry_Int_Tables_number 1
loop_
_symmetry_equiv_pos_as_xyz
'x,y,z'
loop_
_atom_site_label
_atom_site_type_symbol
_atom_site_fract_x
_atom_site_fract_y
_atom_site_fract_z
In1 In 0.0000 0.5000 0.0000
In2 In 0.5000 0.0000 0.0000
Ge1 Ge 0.0000 0.0000 0.5000
Ir1 Ir 0.0000 0.0000 0.0000
W1 W 0.5000 0.5000 0.5000
```

(3)
DFT (PBE-GGA) results for an optimized crystal structure of GeSbF5.

## Properties
space group: Imm2 (44)
magnetic moment: 0.000 μB/atom
energy relative to the elements, uncorrected: -2.17 eV per atom
raw total energy: -4.75 eV/atom

```
data_GeSbF5
_cell_length_a 7.4012
_cell_length_b 8.6588
_cell_length_c 4.5434
_cell_angle_alpha 90.00
_cell_angle_beta 90.00
_cell_angle_gamma 90.00
_symmetry_space_group_name_H-M 'P 1'
_symmetry_Int_Tables_number 1
loop_
_symmetry_equiv_pos_as_xyz
'x,y,z'
loop_
_atom_site_label
_atom_site_type_symbol
_atom_site_fract_x
_atom_site_fract_y
_atom_site_fract_z
Ge1 Ge 0.0000 0.0000 0.0000
Ge2 Ge 0.5000 0.5000 0.5000
Sb1 Sb 0.0000 0.5000 0.0739
Sb2 Sb 0.5000 0.0000 0.5739
F1 F 0.0000 0.0000 0.5961
F2 F 0.0000 0.2578 0.0970
F3 F 0.0000 0.7422 0.0970
F4 F 0.1801 0.5000 0.3996
F5 F 0.3199 0.0000 0.8996
F6 F 0.5000 0.2422 0.5970
F7 F 0.5000 0.5000 0.0961
F8 F 0.5000 0.7578 0.5970
F9 F 0.6801 0.0000 0.8996
F10 F 0.8199 0.5000 0.3996
```

(4)
DFT (PBE-GGA) results for an optimized crystal structure of Sr8LiCd2.

## Properties
space group: Cm (8)
magnetic moment: 0.000 μB/atom
formation energy: -0.068 eV per atom
raw total energy: -1.63 eV/atom

```
data_Sr8LiCd2
_cell_length_a 9.3136
_cell_length_b 9.3136
_cell_length_c 6.5785
_cell_angle_alpha 99.20
_cell_angle_beta 99.20
_cell_angle_gamma 112.21
_symmetry_space_group_name_H-M 'P 1'
_symmetry_Int_Tables_number 1
loop_
_symmetry_equiv_pos_as_xyz
'x,y,z'
loop_
_atom_site_label
_atom_site_type_symbol
_atom_site_fract_x
_atom_site_fract_y
_atom_site_fract_z
Sr1 Sr 0.0000 0.0000 0.0000
Sr2 Sr 0.0495 0.3074 0.6001
Sr3 Sr 0.1415 0.6147 0.1919
Sr4 Sr 0.3074 0.0495 0.6001
Sr5 Sr 0.4494 0.7071 0.7835
Sr6 Sr 0.6147 0.1415 0.1919
Sr7 Sr 0.7071 0.4494 0.7835
Sr8 Sr 0.7575 0.7575 0.3846
Li1 Li 0.3791 0.3791 0.1987
Cd1 Cd 0.0648 0.6922 0.6922
Cd2 Cd 0.6922 0.0648 0.6922
```